Fe2AsIr | PBE | optimized geometry

Lattice parameters (Å, degrees): 2.7354 2.7354 8.4283 90.00 90.00 115.95
Site moments in Bohr magnetons follow the coordinates.
Element x y z (fractional)
As 0.5000 0.5000 0.7647  -0.01
Fe 0.5000 0.5000 0.2393  2.84
Fe 0.0000 0.0000 0.0091  2.53
Ir 0.0000 0.0000 0.4869  0.32

The energy comes out at -7.34 eV/atom. The calculation puts the energy of formation at 0.269 eV/atom.

=====

KMgBr2 | PBE | optimized geometry

Lattice parameters (Å, degrees): 4.5426 4.5426 8.1347 90.00 90.00 118.45
Element x y z (fractional)
Br 0.0000 0.0000 0.9713
Mg 0.5000 0.5000 0.7500
Br 0.0000 0.0000 0.5287
K 0.5000 0.5000 0.2500

The energy comes out at -2.49 eV/atom. As for the energy above the most stable polymorph in this dataset: 162 meV per atom. The value obtained for the uncorrected formation energy is -0.9846 eV/atom.

=====

Dy4CuHg3 | PBE | optimized geometry

Lattice parameters (Å, degrees): 3.6249 3.6249 14.9712 90.00 90.00 90.00
Element x y z (fractional)
Hg 0.5000 0.5000 0.7577
Cu 0.5000 0.5000 0.0000
Dy 0.0000 0.0000 0.1109
Hg 0.5000 0.5000 0.2423
Hg 0.5000 0.5000 0.5000
Dy 0.0000 0.0000 0.3705
Dy 0.0000 0.0000 0.8891
Dy 0.0000 0.0000 0.6295

The energy comes out at -3.34 eV/atom. The calculation puts the energy of formation at -0.414 eV/atom.

=====

LaCe2AlGe2 | PBE | optimized geometry

Lattice parameters (Å, degrees): 4.4314 4.4314 9.2647 103.84 103.84 90.00
Site moments in Bohr magnetons follow the coordinates.
Element x y z (fractional)
Al 0.0000 0.0000 0.0000  0.00
Ge 0.1340 0.1340 0.2681  0.00
La 0.5000 0.5000 0.0000  0.01
Ce 0.2500 0.7500 0.5000  0.16
Ge 0.8660 0.8660 0.7319  0.00
Ce 0.7500 0.2500 0.5000  0.16

The energy comes out at -5.05 eV/atom. The calculation puts the energy of formation at -0.086 eV/atom.

=====

Look up the energy of the third one. -3.34 eV/atom